Run one
# TbPrBr6

A relaxed TbPrBr6 crystal (PBE-GGA, Alexandria via LeMat-Bulk).

Cell lengths 7.550, 7.550, 7.142 Å; angles 97.79, 97.79, 123.56 degrees
Fractional positions:
Tb  0.500  0.500  0.500
Pr  0.000  0.000  0.000
Br  0.594  0.886  0.742
Br  0.886  0.594  0.742
Br  0.114  0.406  0.258
Br  0.406  0.114  0.258
Br  0.252  0.252  0.743
Br  0.748  0.748  0.257

Output
- volume (Å³/cell) = 325.0
- total moment (μB/f.u.) = 0.00
- N(E_F) (states/eV per atom) = 0.000

---

Run two
# TbPrBr6

A relaxed TbPrBr6 crystal (PBE-GGA, Alexandria via LeMat-Bulk).

Cell lengths 7.183, 7.182, 7.772 Å; angles 62.47, 62.48, 60.00 degrees
Fractional positions:
Tb  0.500  0.500  0.500
Pr  0.000  0.000  0.000
Br  0.096  0.415  0.745
Br  0.743  0.096  0.745
Br  0.585  0.257  0.255
Br  0.257  0.904  0.255
Br  0.904  0.585  0.255
Br  0.415  0.743  0.745

Output
- volume (Å³/cell) = 293.7
- total moment (μB/f.u.) = 0.00
- N(E_F) (states/eV per atom) = 0.000

---

Relative energies, meV/atom: run one 0; run two 13.

---

Run one
# PrTeBr

A relaxed PrTeBr crystal (PBE-GGA, Alexandria via LeMat-Bulk).

Cell lengths 8.267, 10.716, 10.716 Å; angles 113.63, 104.90, 104.90 degrees
Fractional positions:
Pr  0.293  0.529  0.141
Pr  0.236  0.388  0.529
Pr  0.848  0.141  0.612
Pr  0.152  0.859  0.388
Pr  0.764  0.612  0.471
Pr  0.707  0.471  0.859
Br  0.603  0.652  0.722
Br  0.119  0.722  0.070
Br  0.951  0.070  0.348
Br  0.049  0.930  0.652
Br  0.881  0.278  0.930
Br  0.397  0.348  0.278
Te  0.293  0.358  0.821
Te  0.528  0.821  0.463
Te  0.064  0.537  0.358
Te  0.936  0.463  0.642
Te  0.472  0.179  0.537
Te  0.707  0.642  0.179

Output
- volume (Å³/cell) = 767.8
- total moment (μB/f.u.) = 0.00

---

Run two
# PrTeBr

A relaxed PrTeBr crystal (PBE-GGA, Alexandria via LeMat-Bulk).

Cell lengths 4.263, 8.185, 6.258 Å; angles 95.63, 70.12, 74.90 degrees
Fractional positions:
Pr  0.954  0.208  0.383
Pr  0.046  0.792  0.617
Te  0.704  0.884  0.207
Te  0.296  0.116  0.793
Br  0.404  0.436  0.256
Br  0.596  0.564  0.744

Output
- volume (Å³/cell) = 194.0
- total moment (μB/f.u.) = 0.00
- N(E_F) (states/eV per atom) = 0.000

---

Relative energies, meV/atom: run one 37; run two 0.

---

Run one
# PrTeBr

A relaxed PrTeBr crystal (PBE-GGA, Alexandria via LeMat-Bulk).

Cell lengths 4.165, 4.638, 11.877 Å; angles 89.55, 89.54, 90.00 degrees
Fractional positions:
Pr  0.019  0.950  0.986
Pr  0.510  0.443  0.350
Te  0.012  0.944  0.266
Te  0.517  0.448  0.069
Br  0.006  0.439  0.527
Br  0.523  0.953  0.808

Output
- volume (Å³/cell) = 229.5
- total moment (μB/f.u.) = 0.00
- N(E_F) (states/eV per atom) = 0.006

---

Run two
# PrTeBr

A relaxed PrTeBr crystal (PBE-GGA, Alexandria via LeMat-Bulk).

Cell lengths 4.285, 5.035, 5.035 Å; angles 120.00, 90.00, 90.00 degrees
Fractional positions:
Pr  0.166  0.000  0.000
Te  0.667  0.667  0.333
Br  0.167  0.333  0.667

Output
- volume (Å³/cell) = 94.1
- total moment (μB/f.u.) = 0.00
- N(E_F) (states/eV per atom) = 0.057

---

Run three
# PrTeBr

A relaxed PrTeBr crystal (PBE-GGA, Alexandria via LeMat-Bulk).

Cell lengths 5.299, 5.299, 5.299 Å; angles 60.00, 60.00, 60.00 degrees
Fractional positions:
Pr  0.250  0.250  0.250
Te  0.000  0.000  0.000
Br  0.500  0.500  0.500

Output
- volume (Å³/cell) = 105.2
- total moment (μB/f.u.) = 0.00
- N(E_F) (states/eV per atom) = 0.000

---

Relative energies, meV/atom: run one 0; run two 241; run three 97.

---

Run one
# Pr2TeBr

A relaxed Pr2TeBr crystal (PBE-GGA, Alexandria via LeMat-Bulk).

Cell lengths 4.118, 4.118, 8.758 Å; angles 76.40, 76.40, 60.00 degrees
Fractional positions:
Pr  0.081  0.081  0.756
Pr  0.252  0.252  0.244
Te  0.666  0.666  0.002
Br  0.501  0.501  0.498

Output
- volume (Å³/cell) = 123.8
- total moment (μB/f.u.) = 0.00
- N(E_F) (states/eV per atom) = 1.075

---

Run two
# Pr2TeBr

A relaxed Pr2TeBr crystal (PBE-GGA, Alexandria via LeMat-Bulk).

Cell lengths 4.076, 4.076, 10.218 Å; angles 90.00, 90.00, 120.00 degrees
Fractional positions:
Pr  0.667  0.333  0.835
Pr  0.000  0.000  0.337
Te  0.667  0.333  0.537
Br  0.000  0.000  0.041

Output
- volume (Å³/cell) = 147.0
- total moment (μB/f.u.) = 0.85
- N(E_F) (states/eV per atom) = 0.756

---

Run three
# Pr2TeBr

A relaxed Pr2TeBr crystal (PBE-GGA, Alexandria via LeMat-Bulk).

Cell lengths 3.844, 3.844, 7.614 Å; angles 90.00, 90.00, 90.00 degrees
Fractional positions:
Pr  0.000  0.000  0.757
Pr  0.000  0.000  0.243
Te  0.500  0.500  0.000
Br  0.500  0.500  0.500

Output
- volume (Å³/cell) = 112.5
- total moment (μB/f.u.) = 0.00
- N(E_F) (states/eV per atom) = 0.694

---

Relative energies, meV/atom: run one 7; run two 289; run three 0.